(1)
An optimized crystal structure of ZrZn2Pt. Source: the Alexandria database, functional PBE.

Summary:
- ρ: 8.8 Mg/m³
- D(E_F): 2.6 states/eV/f.u.
- Raw total energy: -17.9 eV per formula unit
- Formation energy from the elements: -0.199 eV/atom

a b c (Å): 6.153 6.153 6.153
angles (deg): 147.79 140.33 51.99
Atoms (fractional coordinates):
Zr: 0.000 0.000 0.000
Zn: 0.272 0.272 0.000
Zn: 0.728 0.728 0.000
Pt: 0.500 0.500 0.000

(2)
An optimized crystal structure of Ac3Al6Ag5. Source: the Alexandria database, functional PBE.

Summary:
- ρ: 7.2 Mg/m³
- D(E_F): 6.4 states/eV/f.u.
- Raw total energy: -53.0 eV per formula unit
- Formation energy from the elements: -0.285 eV/atom

a b c (Å): 8.792 8.792 8.792
angles (deg): 149.80 106.73 81.26
Atoms (fractional coordinates):
Ac: 0.000 0.000 0.000
Ac: 0.301 0.301 0.000
Ac: 0.699 0.699 0.000
Al: 0.161 0.877 0.283
Al: 0.294 0.500 0.794
Al: 0.406 0.123 0.283
Al: 0.594 0.877 0.717
Al: 0.706 0.500 0.206
Al: 0.839 0.123 0.717
Ag: 0.017 0.667 0.350
Ag: 0.317 0.667 0.650
Ag: 0.500 0.000 0.500
Ag: 0.683 0.333 0.350
Ag: 0.983 0.333 0.650

(3)
An optimized crystal structure of ZrW. Source: the Alexandria database, functional PBE.

Summary:
- ρ: 12.3 Mg/m³
- D(E_F): 2.6 states/eV/f.u.
- Raw total energy: -21.1 eV per formula unit
- Formation energy from the elements: 0.207 eV/atom

a b c (Å): 2.893 2.893 4.743
angles (deg): 90.00 90.00 110.23
Atoms (fractional coordinates):
Zr: 0.000 0.000 0.000
W: 0.500 0.500 0.500

(4)
An optimized crystal structure of CeAlPdAu. Source: the Alexandria database, functional PBE.

Summary:
- ρ: 9.7 Mg/m³
- D(E_F): 6.2 states/eV/f.u.
- Raw total energy: -20.6 eV per formula unit
- Formation energy from the elements: -0.614 eV/atom

a b c (Å): 4.852 4.852 4.852
angles (deg): 60.00 60.00 60.00
Atoms (fractional coordinates):
Ce: 0.000 0.000 0.000
Al: 0.500 0.500 0.500
Pd: 0.750 0.750 0.750
Au: 0.250 0.250 0.250

Question: Which of these has the highest ρ?
Answer: ZrW

Question: Which value of ρ does entry 3 give?
Answer: 12.3 Mg/m³